First-principles (PBE) data for a relaxed Ca7PbN6 crystal, as listed in the Alexandria database.

Structure (extended XYZ):
```
28
Lattice="-3.210 6.038 6.374 3.210 -6.038 6.374 3.210 6.038 -6.374" Properties=species:S:1:pos:R:3 pbc="T T T"
Pb 0.000 0.000 9.561
Pb 0.000 0.000 3.187
N 2.384 1.779 0.000
N 0.826 7.817 0.000
N 1.851 4.594 -2.248
N 1.359 -1.443 2.248
N 2.384 -1.779 6.374
N -1.851 4.594 4.126
N 1.359 1.443 8.623
N 5.061 1.443 2.248
N 1.851 4.594 2.248
N 1.359 1.443 4.126
N 0.826 4.258 6.374
N 1.851 7.481 4.126
Ca 3.998 3.385 1.625
Ca 0.788 2.653 1.625
Ca -0.788 2.653 4.749
Ca 3.998 -3.385 4.749
Ca 1.856 0.613 6.374
Ca 0.000 6.038 3.187
Ca -0.788 2.653 7.999
Ca -0.788 9.422 1.625
Ca 3.210 0.000 3.187
Ca 4.565 0.613 0.000
Ca -1.354 5.425 6.374
Ca 1.354 5.425 0.000
Ca 2.422 3.385 4.749
Ca 3.998 3.385 -1.625
```

Values from the calculation:
The value obtained for the total moment is 0.00 μB per formula unit. The value obtained for the energy is -5.41 eV/atom. As for the uncorrected formation energy: -0.5746 eV/atom.


First-principles (PBE) data for a relaxed ZnW3Au crystal, as listed in the Alexandria database.

Structure (extended XYZ):
```
5
Lattice="-2.724 -0.124 3.617 -0.294 -4.504 -0.375 3.607 -0.460 2.701" Properties=species:S:1:pos:R:3 pbc="T T T"
W -1.362 -0.062 1.808
W 1.803 -0.230 1.350
W -0.147 -2.252 -0.188
Au 0.295 -2.544 2.971
Zn 0.000 0.000 0.000
```

Values from the calculation:
The energy above the lowest structure with this stoichiometry comes out at 0 meV/atom. For the energy of formation, the calculation gives 182 kJ per mole of atoms. The value obtained for the total moment is 0.00 μB per formula unit. Its density of states at the Fermi level is 0.700 states/eV/atom. The value obtained for the energy is -6.79 eV/atom.


First-principles (PBE) data for a relaxed Li2YNi crystal, as listed in the Alexandria database.

Structure (extended XYZ):
```
4
Lattice="0.000 3.247 3.247 3.247 0.000 3.247 3.247 3.247 0.000" Properties=species:S:1:pos:R:3 pbc="T T T"
Li 1.623 1.623 1.623
Li 4.870 4.870 4.870
Ni 0.000 0.000 0.000
Y 3.247 3.247 3.247
```

Values from the calculation:
The energy above the lowest structure with this stoichiometry comes out at 227 meV/atom. For the energy of formation, the calculation gives 15 kJ per mole of atoms. The value obtained for the total moment is 0.00 μB per formula unit. Its density of states at the Fermi level is 1.269 states/eV/atom. The value obtained for the energy is -3.86 eV/atom.


First-principles (PBE) data for a relaxed Ba2InRe crystal, as listed in the Alexandria database.

Structure (extended XYZ):
```
8
Lattice="-0.163 4.716 10.554 -8.608 -7.094 3.037 -2.601 -2.997 7.631" Properties=species:S:1:pos:R:3 pbc="T T T"
Ba -2.665 1.406 15.160
Ba -3.591 -1.782 10.238
Ba -6.182 -0.781 13.658
Ba -1.859 2.214 10.905
Re 0.000 0.000 0.000
Re -3.574 0.264 12.490
In -4.386 -1.189 6.796
In -7.797 -5.640 8.732
```

Values from the calculation:
For the energy of formation, the calculation gives 61 kJ per mole of atoms. The value obtained for the total moment is 0.00 μB per formula unit. Its density of states at the Fermi level is 1.243 states/eV/atom. The value obtained for the energy is -4.13 eV/atom.


First-principles (PBE) data for a relaxed SmHoO3 crystal, as listed in the Alexandria database.

Structure (extended XYZ):
```
10
Lattice="-0.077 -4.134 -3.907 4.607 -3.238 -0.806 -0.327 -6.017 2.232" Properties=species:S:1:pos:R:3 pbc="T T T"
Sm 2.892 -5.164 -2.877
Sm 1.312 -8.226 0.395
O 4.337 -5.618 -1.133
O -0.109 -6.483 -0.130
O 3.273 -7.120 0.907
O 1.781 -9.117 -1.683
O 2.367 -7.279 -3.640
O 0.962 -4.552 -1.765
Ho 3.711 -8.961 -3.016
Ho 0.493 -4.429 0.535
```

Values from the calculation:
The value obtained for the total moment is 0.00 μB per formula unit. Its density of states at the Fermi level is 0.000 states/eV/atom. The value obtained for the energy is -8.18 eV/atom. As for the uncorrected formation energy: -3.3440 eV/atom.


First-principles (PBE) data for a relaxed Tb8As3SeS4 crystal, as listed in the Alexandria database.

Structure (extended XYZ):
```
16
Lattice="-7.825 1.059 -1.714 -0.487 -7.633 -2.494 2.779 1.683 7.398" Properties=species:S:1:pos:R:3 pbc="T T T"
Tb -4.848 -4.107 0.549
Tb -4.583 -0.237 1.731
Tb -3.165 0.621 5.505
Tb 0.668 0.103 6.345
Tb -2.367 -5.512 -2.314
Tb -6.201 -4.994 -3.154
Tb -0.949 -4.654 1.460
Tb -0.685 -0.784 2.642
S 0.000 0.000 0.000
S -3.913 0.529 -0.857
S 1.390 0.841 3.699
S -2.523 1.371 2.842
As -4.156 -3.287 -2.104
As -2.766 -2.446 1.595
As 1.146 -2.975 2.452
Se -0.243 -3.816 -1.247
```

Values from the calculation:
The value obtained for the total moment is 0.00 μB per formula unit. Its density of states at the Fermi level is 0.391 states/eV/atom. The value obtained for the energy is -6.27 eV/atom. As for the uncorrected formation energy: -1.8323 eV/atom.


First-principles (PBE) data for a relaxed KSiAu3 crystal, as listed in the Alexandria database.

Structure (extended XYZ):
```
10
Lattice="5.101 0.000 0.000 0.000 5.101 0.000 2.551 2.551 12.342" Properties=species:S:1:pos:R:3 pbc="T T T"
K 2.551 5.101 6.171
K 0.000 0.000 0.000
Au 2.551 2.551 3.168
Au 5.101 5.101 9.174
Au 1.269 5.101 3.086
Au 2.551 6.383 9.256
Au 3.833 5.101 3.086
Au 2.551 3.820 9.256
Si 5.101 2.551 3.150
Si 5.101 2.551 9.192
```

Values from the calculation:
The value obtained for the total moment is 0.00 μB per formula unit. Its density of states at the Fermi level is 0.376 states/eV/atom. The value obtained for the energy is -3.23 eV/atom. As for the uncorrected formation energy: 0.0403 eV/atom.


First-principles (PBE) data for a relaxed Ho3ZnIn crystal, as listed in the Alexandria database.

Structure (extended XYZ):
```
10
Lattice="-5.023 -0.442 0.031 0.677 -7.518 2.509 -0.490 5.927 5.283" Properties=species:S:1:pos:R:3 pbc="T T T"
Ho -1.091 -1.843 1.966
Ho -4.035 3.040 4.778
Ho -3.744 -0.191 5.857
Ho -0.800 -5.073 3.044
Ho -3.825 0.493 2.508
Ho -1.011 -2.526 5.314
In -3.479 -3.369 3.456
In -1.356 1.335 4.366
Zn -2.511 -0.221 0.015
Zn 0.000 0.000 0.000
```

Values from the calculation:
The energy above the lowest structure with this stoichiometry comes out at 131 meV/atom. For the energy of formation, the calculation gives -16 kJ per mole of atoms. The value obtained for the total moment is 0.00 μB per formula unit. Its density of states at the Fermi level is 0.669 states/eV/atom. The value obtained for the energy is -3.72 eV/atom.